{"formula": "La2PmCoHg", "functional": "GGA-PBE", "state": "relaxed", "lattice": [[5.2116, 0.0000, 0.0000], [0.0000, 5.2116, 0.0000], [0.0000, 0.0002, 5.4721]], "species": ["La", "La", "Pm", "Co", "Hg"], "fractional_positions": [[0.0000, 0.5000, 0.9996], [0.5000, 0.0000, 0.9997], [0.0000, 0.0000, 0.4997], [0.0000, 0.0000, 0.9998], [0.5000, 0.5000, 0.5013]], "n_ef_per_ev_cell": 5.8, "formation_energy_ev_per_atom": -0.19}

=====

{"formula": "La2TcNiPd", "functional": "GGA-PBE", "state": "relaxed", "lattice": [[5.4667, 0.0000, 0.0000], [0.0000, 5.4667, 0.0000], [0.0000, 0.0000, 4.3430]], "species": ["Ni", "Tc", "Pd", "La", "La"], "fractional_positions": [[0.0000, 0.0000, 0.0000], [0.0000, 0.0000, 0.5000], [0.5000, 0.5000, 0.5000], [0.0000, 0.5000, 0.0000], [0.5000, 0.0000, 0.0000]], "n_ef_per_ev_cell": 4.2, "formation_energy_ev_per_atom": 0.23}

=====

{"formula": "MgZr2GaPd", "functional": "GGA-PBE", "state": "relaxed", "lattice": [[5.0436, 0.0000, 0.0000], [0.0000, 4.6548, 0.0000], [0.0000, 0.0000, 5.0436]], "species": ["Mg", "Ga", "Zr", "Zr", "Pd"], "fractional_positions": [[0.5000, 0.5000, 0.5000], [0.0000, 0.0000, 0.0000], [0.0000, 0.0000, 0.5000], [0.5000, 0.0000, 0.0000], [0.0000, 0.5000, 0.0000]], "n_ef_per_ev_cell": 3.8, "formation_energy_ev_per_atom": 0.27}

=====

{"formula": "ZrRhNO2", "functional": "GGA-PBE", "state": "relaxed", "lattice": [[4.1121, 0.0000, 0.0000], [0.0000, 4.1121, 0.0000], [0.0000, 0.0000, 4.3308]], "species": ["Rh", "O", "O", "Zr", "N"], "fractional_positions": [[0.5000, 0.5000, 0.5000], [0.0000, 0.5000, 0.0000], [0.5000, 0.0000, 0.0000], [0.0000, 0.0000, 0.0000], [0.0000, 0.0000, 0.5000]], "formation_energy_uncorrected_mev_per_atom": -458, "n_ef_per_ev_cell": 3.7}

=====

{"formula": "ZnBSbI2", "functional": "GGA-PBE", "state": "relaxed", "lattice": [[-5.2853, -0.9886, -0.5301], [1.0447, -3.4080, -4.0604], [0.3531, -3.5208, 3.0460]], "species": ["I", "I", "Sb", "Zn", "B"], "fractional_positions": [[0.0000, 0.5000, 0.0000], [0.5000, 0.0000, 0.0000], [0.0000, 0.0000, 0.5000], [0.5000, 0.5000, 0.5000], [0.0000, 0.0000, 0.0000]], "formation_energy_uncorrected_mev_per_atom": 796, "n_ef_per_ev_cell": 3.8, "relative_energy_kcal_per_mol_atoms": 0.000}

=====

{"formula": "P2SeIO", "functional": "GGA-PBE", "state": "relaxed", "lattice": [[5.0121, 0.0000, 0.0000], [0.0000, 5.0121, 0.0000], [0.0000, 0.0000, 3.8356]], "species": ["I", "P", "P", "O", "Se"], "fractional_positions": [[0.5000, 0.5000, 0.5000], [0.0000, 0.5000, 0.0000], [0.5000, 0.0000, 0.0000], [0.0000, 0.0000, 0.5000], [0.0000, 0.0000, 0.0000]], "formation_energy_uncorrected_mev_per_atom": 635, "n_ef_per_ev_cell": 2.3, "relative_energy_kcal_per_mol_atoms": 0.000}

=====

{"formula": "Pm3Si6NiPd2", "functional": "GGA-PBE", "state": "relaxed", "lattice": [[5.7511, 0.0000, 0.0000], [-2.8755, 4.9806, 0.0000], [0.0000, 0.0000, 8.0019]], "species": ["Pm", "Pm", "Pm", "Si", "Si", "Si", "Si", "Si", "Si", "Ni", "Pd", "Pd"], "fractional_positions": [[0.3333, 0.6667, 0.6469], [0.6667, 0.3333, 0.3531], [0.0000, 0.0000, 0.0000], [0.6217, 0.8108, 0.3066], [0.1892, 0.3783, 0.3066], [0.1892, 0.8108, 0.3066], [0.8108, 0.6217, 0.6934], [0.3783, 0.1892, 0.6934], [0.8108, 0.1892, 0.6934], [0.0000, 0.0000, 0.5000], [0.6667, 0.3333, 0.9488], [0.3333, 0.6667, 0.0512]], "formation_energy_uncorrected_mev_per_atom": -458, "n_ef_per_ev_cell": 5.3}

=====

{"formula": "CoRhSeN2", "functional": "GGA-PBE", "state": "relaxed", "lattice": [[-3.4079, 0.2841, 0.7459], [0.4676, -4.6730, 3.9162], [0.7519, 2.2395, 2.5826]], "species": ["Co", "Rh", "Se", "N", "N"], "fractional_positions": [[0.0000, 0.0000, 0.0000], [0.5000, 0.5000, 0.5000], [0.0000, 0.5000, 0.0000], [0.0000, 0.0000, 0.5000], [0.5000, 0.0000, 0.0000]], "formation_energy_uncorrected_mev_per_atom": 1063, "n_ef_per_ev_cell": 5.4, "relative_energy_kcal_per_mol_atoms": 0.000}

=====

{"formula": "LiThAl2", "functional": "GGA-PBE", "state": "relaxed", "lattice": [[4.3378, 0.0000, 0.0000], [0.0000, 7.5108, 0.0000], [0.0000, 0.0000, 10.8301]], "species": ["Li", "Li", "Li", "Li", "Th", "Th", "Th", "Th", "Al", "Al", "Al", "Al", "Al", "Al", "Al", "Al"], "fractional_positions": [[0.2500, 0.4853, 0.1059], [0.2500, 0.9853, 0.3941], [0.7500, 0.5147, 0.8941], [0.7500, 0.0147, 0.6059], [0.7500, 0.8408, 0.1320], [0.2500, 0.1592, 0.8680], [0.7500, 0.3408, 0.3680], [0.2500, 0.6592, 0.6320], [0.7500, 0.8556, 0.8217], [0.2500, 0.1444, 0.1783], [0.7500, 0.3555, 0.6783], [0.2500, 0.6444, 0.3217], [0.7500, 0.7636, 0.4306], [0.2500, 0.7364, 0.9306], [0.7500, 0.2636, 0.0694], [0.2500, 0.2364, 0.5694]], "n_ef_per_ev_cell": 11.3, "formation_energy_ev_per_atom": -0.23}

=====

{"formula": "La2HCl2", "functional": "GGA-PBE", "state": "relaxed", "lattice": [[-2.0301, -6.5548, -1.5837], [5.9468, -2.5200, 2.8070], [-2.1777, -0.3618, 4.2888]], "species": ["H", "H", "Cl", "Cl", "Cl", "Cl", "La", "La", "La", "La"], "fractional_positions": [[0.0000, 0.0000, 0.0000], [0.5000, 0.5000, 0.0000], [0.1626, 0.6626, 0.5000], [0.6626, 0.8374, 0.5000], [0.8374, 0.3374, 0.5000], [0.3374, 0.1626, 0.5000], [0.3277, 0.8277, 0.0000], [0.8277, 0.6723, 0.0000], [0.6723, 0.1723, 0.0000], [0.1723, 0.3277, 0.0000]], "n_ef_per_ev_cell": 8.8, "relative_energy_kcal_per_mol_atoms": 5.736}

=====

{"formula": "BeGa2Ag2", "functional": "GGA-PBE", "state": "relaxed", "lattice": [[6.1925, 0.0000, 0.0000], [0.0000, 6.1925, 0.0000], [0.0000, 0.0000, 4.3405]], "species": ["Be", "Be", "Ga", "Ga", "Ga", "Ga", "Ag", "Ag", "Ag", "Ag"], "fractional_positions": [[0.0000, 0.0000, 0.0000], [0.5000, 0.5000, 0.0000], [0.3478, 0.8478, 0.0000], [0.8478, 0.6522, 0.0000], [0.6522, 0.1522, 0.0000], [0.1522, 0.3478, 0.0000], [0.1633, 0.6633, 0.5000], [0.6633, 0.8367, 0.5000], [0.8367, 0.3367, 0.5000], [0.3367, 0.1633, 0.5000]], "n_ef_per_ev_cell": 3.3, "relative_energy_kcal_per_mol_atoms": 0.000, "formation_energy_ev_per_atom": 0.23}

=====

{"formula": "InOsBr2", "functional": "GGA-PBE", "state": "relaxed", "lattice": [[1.8379, 0.0000, 10.3746], [-0.9190, 1.5917, 10.3746], [-0.9190, -1.5917, 10.3746]], "species": ["Os", "Br", "Br", "In"], "fractional_positions": [[0.0000, 0.0000, 0.0000], [0.9239, 0.9239, 0.9239], [0.0761, 0.0761, 0.0761], [0.5000, 0.5000, 0.5000]], "formation_energy_uncorrected_mev_per_atom": 552, "n_ef_per_ev_cell": 3.5, "relative_energy_kcal_per_mol_atoms": 8.540}

=====

{"formula": "Tl3In2HgPb3", "functional": "GGA-PBE", "state": "relaxed", "lattice": [[3.3819, 0.0000, 0.0000], [0.0000, 9.5755, 0.0000], [0.0000, -4.7878, 8.2926]], "species": ["Tl", "Tl", "Tl", "In", "In", "Hg", "Pb", "Pb", "Pb"], "fractional_positions": [[0.5000, 0.6976, 0.0000], [0.5000, 0.0000, 0.6976], [0.5000, 0.3024, 0.3024], [0.5000, 0.6667, 0.3333], [0.5000, 0.3333, 0.6667], [0.0000, 0.0000, 0.0000], [0.0000, 0.6415, 0.6415], [0.0000, 0.0000, 0.3585], [0.0000, 0.3585, 0.0000]], "n_ef_per_ev_cell": 3.7, "formation_energy_ev_per_atom": 0.02}

=====

{"formula": "MgPtW2", "functional": "GGA-PBE", "state": "relaxed", "lattice": [[-2.0601, 4.3229, 2.0197], [-4.6410, -0.3556, 2.3119], [4.5527, -2.5011, 0.1678]], "species": ["Mg", "Pt", "W", "W"], "fractional_positions": [[0.2500, 0.7500, 0.5000], [0.7500, 0.2500, 0.5000], [0.0000, 0.0000, 0.0000], [0.5000, 0.5000, 0.0000]], "n_ef_per_ev_cell": 2.5, "formation_energy_ev_per_atom": -0.01}

=====

{"formula": "AcY2Nb", "functional": "GGA-PBE", "state": "relaxed", "lattice": [[3.4467, 0.0000, 0.0000], [1.7233, 2.9849, 0.0000], [1.7233, 0.9950, 11.9988]], "species": ["Y", "Y", "Ac", "Nb"], "fractional_positions": [[0.0797, 0.0797, 0.7610], [0.9203, 0.9203, 0.2390], [0.5000, 0.5000, 0.5000], [0.0000, 0.0000, 0.0000]], "n_ef_per_ev_cell": 7.4, "formation_energy_ev_per_atom": 0.70}

=====

{"formula": "Ba3Sr2Pd2", "functional": "GGA-PBE", "state": "relaxed", "lattice": [[4.3309, -0.0003, -0.9711], [-2.7461, 6.7568, -2.1100], [-0.0458, -0.1984, 9.9369]], "species": ["Ba", "Ba", "Ba", "Sr", "Sr", "Pd", "Pd"], "fractional_positions": [[0.5000, 0.0000, 0.0000], [0.1954, 0.8203, 0.5706], [0.8046, 0.1797, 0.4294], [0.6449, 0.4659, 0.8236], [0.3551, 0.5341, 0.1764], [0.0280, 0.8462, 0.2103], [0.9720, 0.1538, 0.7897]], "n_ef_per_ev_cell": 4.0, "formation_energy_ev_per_atom": -0.37}

=====

{"formula": "TaO2F2", "functional": "GGA-PBE", "state": "relaxed", "lattice": [[3.9558, 0.0000, 0.0000], [0.0000, 3.9558, 0.0000], [0.0000, 0.0000, 3.3983]], "species": ["F", "F", "O", "O", "Ta"], "fractional_positions": [[0.0000, 0.5000, 0.0000], [0.5000, 0.0000, 0.0000], [0.0000, 0.0000, 0.0000], [0.0000, 0.0000, 0.5000], [0.5000, 0.5000, 0.5000]], "formation_energy_uncorrected_mev_per_atom": 397, "n_ef_per_ev_cell": 5.2, "relative_energy_kcal_per_mol_atoms": 59.721}

=====

{"formula": "ScCoSi2", "functional": "GGA-PBE", "state": "relaxed", "lattice": [[7.9946, -0.0238, -0.0141], [7.4413, 2.9225, -0.0141], [7.4413, 1.3974, 2.5669]], "species": ["Co", "Sc", "Si", "Si"], "fractional_positions": [[0.5081, 0.5081, 0.5081], [0.7560, 0.7560, 0.7560], [0.9927, 0.9927, 0.9927], [0.2432, 0.2432, 0.2432]], "formation_energy_uncorrected_mev_per_atom": -4, "n_ef_per_ev_cell": 1.9}

=====

{"formula": "Cd2HgRu", "functional": "GGA-PBE", "state": "relaxed", "lattice": [[-0.0942, 0.9191, -4.0570], [1.0225, -2.8079, -0.6599], [-4.6795, -4.7622, -0.9702]], "species": ["Cd", "Cd", "Hg", "Ru"], "fractional_positions": [[0.0000, 0.0223, 0.9793], [0.0000, 0.4777, 0.5207], [0.5000, 0.2500, 0.2500], [0.5000, 0.7500, 0.7500]], "n_ef_per_ev_cell": 2.5, "formation_energy_ev_per_atom": 0.30}

=====

{"formula": "FePt2Se", "functional": "GGA-PBE", "state": "relaxed", "lattice": [[3.6086, 0.0000, 0.0000], [0.0000, 2.7629, -0.1404], [0.0000, 0.4906, 6.6098]], "species": ["Fe", "Pt", "Pt", "Se"], "fractional_positions": [[0.5000, 0.5218, 0.7898], [0.0000, 0.0109, 0.9796], [0.5000, 0.5002, 0.2281], [0.0000, 0.4671, 0.5026]], "formation_energy_uncorrected_mev_per_atom": 30, "n_ef_per_ev_cell": 3.7}

=====

{"formula": "PuThSc2", "functional": "GGA-PBE", "state": "relaxed", "lattice": [[5.3531, 0.0000, 0.0000], [2.6766, 4.6359, 0.0000], [2.6766, 1.5453, 4.3708]], "species": ["Sc", "Sc", "Th", "Pu"], "fractional_positions": [[0.2500, 0.2500, 0.2500], [0.7500, 0.7500, 0.7500], [0.0000, 0.0000, 0.0000], [0.5000, 0.5000, 0.5000]], "n_ef_per_ev_cell": 11.2, "relative_energy_kcal_per_mol_atoms": 1.456, "formation_energy_ev_per_atom": 0.16}

=====

{"formula": "TlCl3", "functional": "GGA-PBE", "state": "relaxed", "lattice": [[-4.2593, -1.1091, 2.0477], [1.6092, -4.4871, 0.9169], [1.7899, 1.5773, 4.5774]], "species": ["Tl", "Cl", "Cl", "Cl"], "fractional_positions": [[0.0000, 0.0000, 0.0000], [0.5000, 0.5000, 0.7462], [0.0000, 0.0000, 0.5000], [0.5000, 0.5000, 0.2538]], "formation_energy_uncorrected_mev_per_atom": -310, "n_ef_per_ev_cell": 2.7}

=====

{"formula": "Ca2SnB2Ir5", "functional": "GGA-PBE", "state": "relaxed", "lattice": [[-1.8653, 1.9198, 1.4413], [-5.0784, 1.4062, -8.4456], [-6.0000, -7.5896, 2.3442]], "species": ["Ca", "Ca", "Ca", "Ca", "Sn", "Sn", "B", "B", "B", "B", "Ir", "Ir", "Ir", "Ir", "Ir", "Ir", "Ir", "Ir", "Ir", "Ir"], "fractional_positions": [[0.0000, 0.6773, 0.1773], [0.0000, 0.3227, 0.8227], [0.0000, 0.1773, 0.3227], [0.0000, 0.8227, 0.6773], [0.0000, 0.0000, 0.0000], [0.0000, 0.5000, 0.5000], [0.0000, 0.1202, 0.6202], [0.0000, 0.8798, 0.3798], [0.0000, 0.6202, 0.8798], [0.0000, 0.3798, 0.1202], [0.5000, 0.2264, 0.0695], [0.5000, 0.7736, 0.9305], [0.5000, 0.0695, 0.7736], [0.5000, 0.7264, 0.4305], [0.5000, 0.9305, 0.2264], [0.5000, 0.2736, 0.5695], [0.5000, 0.5695, 0.7264], [0.5000, 0.4305, 0.2736], [0.5000, 0.5000, 0.0000], [0.5000, 0.0000, 0.5000]], "n_ef_per_ev_cell": 4.1, "formation_energy_ev_per_atom": -0.48}

=====

{"formula": "NiPRu", "functional": "GGA-PBE", "state": "relaxed", "lattice": [[1.4068, -2.4367, 0.0000], [1.4068, 2.4367, 0.0000], [0.0000, 0.0000, 5.5449]], "species": ["Ni", "P", "Ru"], "fractional_positions": [[0.0000, 0.0000, 0.0334], [0.3333, 0.6667, 0.3287], [0.6667, 0.3333, 0.6380]], "n_ef_per_ev_cell": 2.7, "formation_energy_ev_per_atom": -0.12}

=====

{"formula": "Li2Ag5Se4", "functional": "GGA-PBE", "state": "relaxed", "lattice": [[-1.6499, -3.2685, 2.2362], [6.8261, -1.5222, 2.8117], [-0.4922, 6.5963, 5.1627]], "species": ["Li", "Li", "Ag", "Ag", "Ag", "Ag", "Ag", "Se", "Se", "Se", "Se"], "fractional_positions": [[0.5805, 0.6420, 0.1611], [0.4195, 0.3580, 0.8389], [0.0550, 0.3217, 0.1100], [0.9450, 0.6783, 0.8900], [0.1932, 0.5591, 0.3863], [0.5000, 0.0000, 0.0000], [0.8068, 0.4409, 0.6137], [0.6524, 0.3277, 0.3049], [0.9153, 0.1653, 0.8306], [0.3476, 0.6723, 0.6951], [0.0847, 0.8347, 0.1694]], "formation_energy_uncorrected_mev_per_atom": -298, "n_ef_per_ev_cell": 6.6}

=====

{"formula": "LiCd2B2", "functional": "GGA-PBE", "state": "relaxed", "lattice": [[6.2338, 0.0000, 0.0000], [0.0000, 6.2338, 0.0000], [0.0000, 0.0000, 3.6196]], "species": ["B", "B", "B", "B", "Li", "Li", "Cd", "Cd", "Cd", "Cd"], "fractional_positions": [[0.4096, 0.9096, 0.0000], [0.9096, 0.5904, 0.0000], [0.5904, 0.0904, 0.0000], [0.0904, 0.4096, 0.0000], [0.0000, 0.0000, 0.0000], [0.5000, 0.5000, 0.0000], [0.2157, 0.7157, 0.5000], [0.7157, 0.7843, 0.5000], [0.7843, 0.2843, 0.5000], [0.2843, 0.2157, 0.5000]], "n_ef_per_ev_cell": 3.9, "relative_energy_kcal_per_mol_atoms": 1.317, "formation_energy_ev_per_atom": 0.51}